1.
The following is a DFT calculation (GGA-PBE) of a relaxed BaZn2NiGe crystal.

```
data_BaZn2NiGe
_chemical_formula_sum 'Ba1 Zn2 Ni1 Ge1'
_symmetry_space_group_name_H-M 'P 4/m m m'
_symmetry_Int_Tables_number 123
_symmetry_space_group_name_Hall '-P 4 2'
_cell_length_a 4.8078
_cell_length_b 4.8078
_cell_length_c 4.6709
_cell_angle_alpha 90.00
_cell_angle_beta 90.00
_cell_angle_gamma 90.00
loop_
_atom_site_label
_atom_site_fract_x
_atom_site_fract_y
_atom_site_fract_z
Ba1 0.0000 0.0000 0.0000
Zn1 0.0000 0.5000 0.5000
Ni1 0.5000 0.5000 0.5000
Ge1 0.5000 0.5000 0.0000
```

Values from the calculation:
Magnetization ... 0.0 μB/f.u.
Calculated total energy ... -3.215 eV per atom
DOS at the Fermi energy ... 3.43 states/eV per cell
Volume ... 21.6 A^3/atom

=====

2.
The following is a DFT calculation (GGA-PBE) of a relaxed Cs3Sb2Au5 crystal.

```
data_Cs3Sb2Au5
_chemical_formula_sum 'Cs12 Sb8 Au20'
_symmetry_space_group_name_H-M 'I b a m'
_symmetry_Int_Tables_number 72
_symmetry_space_group_name_Hall '-I 2 2c'
_cell_length_a 10.6860
_cell_length_b 15.7497
_cell_length_c 7.5975
_cell_angle_alpha 90.00
_cell_angle_beta 90.00
_cell_angle_gamma 90.00
loop_
_atom_site_label
_atom_site_fract_x
_atom_site_fract_y
_atom_site_fract_z
Cs1 0.0000 0.0000 0.2500
Cs2 0.2387 0.3883 0.0000
Sb1 0.1484 0.1706 0.0000
Au1 0.0000 0.2408 0.2500
Au2 0.0000 0.5000 0.2500
Au3 0.1049 0.3783 0.5000
```

Values from the calculation:
Magnetization ... 0.0 μB/f.u.
DOS at the Fermi energy ... 16.90 states/eV per cell
E_form (uncorrected) ... -0.133 eV per atom
Volume ... 32.0 A^3/atom

=====

3.
The following is a DFT calculation (GGA-PBE) of a relaxed Fe4Pd2Rh5 crystal.

```
data_Fe4Pd2Rh5
_chemical_formula_sum 'Fe8 Pd4 Rh10'
_symmetry_space_group_name_H-M 'C 1 2/m 1'
_symmetry_Int_Tables_number 12
_symmetry_space_group_name_Hall '-C 2y'
_cell_length_a 13.7553
_cell_length_b 3.8263
_cell_length_c 5.9192
_cell_angle_alpha 90.00
_cell_angle_beta 103.54
_cell_angle_gamma 90.00
loop_
_atom_site_label
_atom_site_fract_x
_atom_site_fract_y
_atom_site_fract_z
Fe1 0.0465 0.0000 0.2378
Fe2 0.1839 0.5000 0.4141
Pd1 0.0901 0.5000 0.9602
Rh1 0.0000 0.5000 0.5000
Rh2 0.1389 0.0000 0.6699
Rh3 0.2260 0.0000 0.1486
```

Values from the calculation:
Magnetization ... 13.5 μB/f.u.
Calculated total energy ... -7.358 eV per atom
DOS at the Fermi energy ... 33.94 states/eV per cell
Volume ... 13.8 A^3/atom

=====

4.
The following is a DFT calculation (GGA-PBE) of a relaxed Ce4BeI6 crystal.

```
data_Ce4BeI6
_chemical_formula_sum 'Ce8 Be2 I12'
_symmetry_space_group_name_H-M 'P 42/n m c'
_symmetry_Int_Tables_number 137
_cell_length_a 10.3013
_cell_length_b 10.3013
_cell_length_c 7.7817
_cell_angle_alpha 90.00
_cell_angle_beta 90.00
_cell_angle_gamma 90.00
loop_
_symmetry_equiv_pos_as_xyz
'x,y,z'
'-x,-y,-z'
'-y+1/2,x,z+1/2'
'y+1/2,-x,-z+1/2'
'-x+1/2,-y+1/2,z'
'x+1/2,y+1/2,-z'
'y,-x+1/2,z+1/2'
'-y,x+1/2,-z+1/2'
'x+1/2,-y,-z'
'-x+1/2,y,z'
'-y,-x,-z+1/2'
'y,x,z+1/2'
'-x,y+1/2,-z'
'x,-y+1/2,z'
'y+1/2,x+1/2,-z+1/2'
'-y+1/2,-x+1/2,z+1/2'
loop_
_atom_site_label
_atom_site_fract_x
_atom_site_fract_y
_atom_site_fract_z
Ce1 0.0208 0.7500 0.0941
Be1 0.2500 0.7500 0.2500
I1 0.0465 0.5465 0.7500
I2 0.2500 0.2500 0.1361
```

Values from the calculation:
Magnetization ... 3.9 μB/f.u.
DOS at the Fermi energy ... 65.28 states/eV per cell
E_form (uncorrected) ... -0.729 eV per atom
Volume ... 37.5 A^3/atom

=====

5.
The following is a DFT calculation (GGA-PBE) of a relaxed Ta2As crystal.

```
data_Ta2As
_chemical_formula_sum 'Ta8 As4'
_symmetry_space_group_name_H-M 'I 41/a m d'
_symmetry_Int_Tables_number 141
_cell_length_a 3.1140
_cell_length_b 3.1140
_cell_length_c 22.5704
_cell_angle_alpha 90.00
_cell_angle_beta 90.00
_cell_angle_gamma 90.00
loop_
_symmetry_equiv_pos_as_xyz
'x,y,z'
'-x,-y,-z'
'-y+1/4,x+3/4,z+1/4'
'y+1/4,-x+3/4,-z+1/4'
'-x+1/2,-y,z+1/2'
'x+1/2,y,-z+1/2'
'y+1/4,-x+1/4,z+3/4'
'-y+1/4,x+1/4,-z+3/4'
'x,-y,-z'
'-x,y,z'
'-y+1/4,-x+1/4,-z+3/4'
'y+1/4,x+1/4,z+3/4'
'-x+1/2,y,-z+1/2'
'x+1/2,-y,z+1/2'
'y+1/4,x+3/4,-z+1/4'
'-y+1/4,-x+3/4,z+1/4'
'x+1/2,y+1/2,z+1/2'
'-x+1/2,-y+1/2,-z+1/2'
'-y+3/4,x+1/4,z+3/4'
'y+3/4,-x+1/4,-z+3/4'
'-x,-y+1/2,z'
'x,y+1/2,-z'
'y+3/4,-x+3/4,z+1/4'
'-y+3/4,x+3/4,-z+1/4'
'x+1/2,-y+1/2,-z+1/2'
'-x+1/2,y+1/2,z+1/2'
'-y+3/4,-x+3/4,-z+1/4'
'y+3/4,x+3/4,z+1/4'
'-x,y+1/2,-z'
'x,-y+1/2,z'
'y+3/4,x+1/4,-z+3/4'
'-y+3/4,-x+1/4,z+3/4'
loop_
_atom_site_label
_atom_site_fract_x
_atom_site_fract_y
_atom_site_fract_z
Ta1 0.0000 0.2500 0.3024
As1 0.0000 0.2500 0.8750
```

Values from the calculation:
Magnetization ... 0.0 μB/f.u.
Calculated total energy ... -9.284 eV per atom
DOS at the Fermi energy ... 5.34 states/eV per cell
Volume ... 18.2 A^3/atom

=====

6.
The following is a DFT calculation (GGA-PBE) of a relaxed TaNi2H crystal.

```
data_TaNi2H
_chemical_formula_sum 'Ta4 Ni8 H4'
_symmetry_space_group_name_H-M 'I -4 2 d'
_symmetry_Int_Tables_number 122
_symmetry_space_group_name_Hall 'I -4 2bw'
_cell_length_a 5.0135
_cell_length_b 5.0135
_cell_length_c 6.9440
_cell_angle_alpha 90.00
_cell_angle_beta 90.00
_cell_angle_gamma 90.00
loop_
_atom_site_label
_atom_site_fract_x
_atom_site_fract_y
_atom_site_fract_z
Ta1 0.0000 0.0000 0.0000
Ni1 0.0582 0.2500 0.6250
H1 0.0000 0.0000 0.5000
```

Values from the calculation:
Magnetization ... 1.1 μB/f.u.
DOS at the Fermi energy ... 19.51 states/eV per cell
Volume ... 10.9 A^3/atom
E above lowest polymorph ... 0 meV per atom

=====

7.
The following is a DFT calculation (GGA-PBE) of a relaxed V5ZnMo4 crystal.

```
data_V5ZnMo4
_chemical_formula_sum 'V5 Zn1 Mo4'
_symmetry_space_group_name_H-M 'P 4/m m m'
_symmetry_Int_Tables_number 123
_symmetry_space_group_name_Hall '-P 4 2'
_cell_length_a 3.0977
_cell_length_b 3.0977
_cell_length_c 15.0221
_cell_angle_alpha 90.00
_cell_angle_beta 90.00
_cell_angle_gamma 90.00
loop_
_atom_site_label
_atom_site_fract_x
_atom_site_fract_y
_atom_site_fract_z
V1 0.0000 0.0000 0.0000
V2 0.0000 0.0000 0.2038
V3 0.0000 0.0000 0.4010
Zn1 0.5000 0.5000 0.5000
Mo1 0.5000 0.5000 0.1015
Mo2 0.5000 0.5000 0.3062
```

Values from the calculation:
Magnetization ... 0.0 μB/f.u.
Calculated total energy ... -9.105 eV per atom
DOS at the Fermi energy ... 7.24 states/eV per cell
Volume ... 14.4 A^3/atom

=====

8.
The following is a DFT calculation (GGA-PBE) of a relaxed Pm4ReHg crystal.

```
data_Pm4ReHg
_chemical_formula_sum 'Pm16 Re4 Hg4'
_symmetry_space_group_name_H-M 'C 1 2/c 1'
_symmetry_Int_Tables_number 15
_symmetry_space_group_name_Hall '-C 2yc'
_cell_length_a 8.7253
_cell_length_b 13.1788
_cell_length_c 6.4013
_cell_angle_alpha 90.00
_cell_angle_beta 106.15
_cell_angle_gamma 90.00
loop_
_atom_site_label
_atom_site_fract_x
_atom_site_fract_y
_atom_site_fract_z
Pm1 0.1072 0.1706 0.0416
Pm2 0.2162 0.4218 0.4032
Re1 0.0000 0.0002 0.2500
Hg1 0.0000 0.3747 0.7500
```

Values from the calculation:
Magnetization ... 0.0 μB/f.u.
Calculated total energy ... -5.434 eV per atom
DOS at the Fermi energy ... 23.09 states/eV per cell
Volume ... 29.5 A^3/atom

=====

9.
The following is a DFT calculation (GGA-PBE) of a relaxed UPdC crystal.

```
data_UPdC
_chemical_formula_sum 'U2 Pd2 C2'
_symmetry_space_group_name_H-M 'P -3 m 1'
_symmetry_Int_Tables_number 164
_symmetry_space_group_name_Hall '-P 3 2"'
_cell_length_a 3.8568
_cell_length_b 3.8568
_cell_length_c 9.1262
_cell_angle_alpha 90.00
_cell_angle_beta 90.00
_cell_angle_gamma 120.00
loop_
_atom_site_label
_atom_site_fract_x
_atom_site_fract_y
_atom_site_fract_z
U1 0.3333 0.6667 0.3482
Pd1 0.3333 0.6667 0.0769
C1 0.3333 0.6667 0.5897
```

Values from the calculation:
Magnetization ... 1.1 μB/f.u.
Calculated total energy ... -8.336 eV per atom
DOS at the Fermi energy ... 6.50 states/eV per cell
Volume ... 19.6 A^3/atom

=====

10.
The following is a DFT calculation (GGA-PBE) of a relaxed NaY3C crystal.

```
data_NaY3C
_chemical_formula_sum 'Na1 Y3 C1'
_symmetry_space_group_name_H-M 'P m -3 m'
_symmetry_Int_Tables_number 221
_symmetry_space_group_name_Hall '-P 4 2 3'
_cell_length_a 5.3777
_cell_length_b 5.3777
_cell_length_c 5.3777
_cell_angle_alpha 90.00
_cell_angle_beta 90.00
_cell_angle_gamma 90.00
loop_
_atom_site_label
_atom_site_fract_x
_atom_site_fract_y
_atom_site_fract_z
Na1 0.0000 0.0000 0.0000
Y1 0.0000 0.0000 0.5000
C1 0.5000 0.5000 0.5000
```

Values from the calculation:
Magnetization ... 2.3 μB/f.u.
DOS at the Fermi energy ... 6.85 states/eV per cell
Volume ... 31.1 A^3/atom
E above lowest polymorph ... 2075 meV per atom

=====

11.
The following is a DFT calculation (GGA-PBE) of a relaxed DyHo2Ge2Rh5 crystal.

```
data_DyHo2Ge2Rh5
_chemical_formula_sum 'Dy2 Ho4 Ge4 Rh10'
_symmetry_space_group_name_H-M 'P 4/m b m'
_symmetry_Int_Tables_number 127
_symmetry_space_group_name_Hall '-P 4 2ab'
_cell_length_a 9.9261
_cell_length_b 9.9261
_cell_length_c 3.6686
_cell_angle_alpha 90.00
_cell_angle_beta 90.00
_cell_angle_gamma 90.00
loop_
_atom_site_label
_atom_site_fract_x
_atom_site_fract_y
_atom_site_fract_z
Dy1 0.0000 0.0000 0.0000
Ho1 0.1729 0.3271 0.0000
Ge1 0.1236 0.6236 0.0000
Rh1 0.0000 0.5000 0.5000
Rh2 0.0701 0.7839 0.5000
```

Values from the calculation:
Magnetization ... 0.0 μB/f.u.
Calculated total energy ... -6.844 eV per atom
DOS at the Fermi energy ... 10.11 states/eV per cell
Volume ... 18.1 A^3/atom

=====

12.
The following is a DFT calculation (GGA-PBE) of a relaxed TaCu2Se2 crystal.

```
data_TaCu2Se2
_chemical_formula_sum 'Ta2 Cu4 Se4'
_symmetry_space_group_name_H-M 'I 4/m m m'
_symmetry_Int_Tables_number 139
_symmetry_space_group_name_Hall '-I 4 2'
_cell_length_a 4.7515
_cell_length_b 4.7515
_cell_length_c 7.5735
_cell_angle_alpha 90.00
_cell_angle_beta 90.00
_cell_angle_gamma 90.00
loop_
_atom_site_label
_atom_site_fract_x
_atom_site_fract_y
_atom_site_fract_z
Ta1 0.0000 0.0000 0.0000
Cu1 0.0000 0.0000 0.3489
Se1 0.0000 0.5000 0.2500
```

Values from the calculation:
Magnetization ... 1.0 μB/f.u.
DOS at the Fermi energy ... 2.34 states/eV per cell
E_form (uncorrected) ... 0.419 eV per atom
Volume ... 17.1 A^3/atom
E above lowest polymorph ... 192 meV per atom